DFT (PBE) results for crystalline InTeSe2 at its relaxed geometry.

abc: 2.9705 5.9834 6.0095
angles: 90.00 90.16 90.00
Atoms (fractional coordinates):
In 0.0000 0.0000 0.0000
Te 0.0000 0.5000 0.5000
Se 0.0000 0.0000 0.5000
Se 0.0000 0.5000 0.0000

Computed properties:
Total energy, eV/atom: -3.2794
ΔE_f (raw), meV/atom: -67
Excess energy over the best structure of this formula in the dataset, meV per atom: 151.0
Total magnetization, Bohr magnetons per cell: 0.00

DFT (PBE) results for crystalline BaNaAgPb at its relaxed geometry.

abc: 5.4832 5.4832 5.4832
angles: 60.00 60.00 60.00
Atoms (fractional coordinates):
Ba 0.0000 0.0000 0.0000
Na 0.7500 0.7500 0.7500
Ag 0.2500 0.2500 0.2500
Pb 0.5000 0.5000 0.5000

Computed properties:
Total energy, eV/atom: -2.6990
Total magnetization, Bohr magnetons per cell: 0.00
ΔE_f, eV/atom: -0.249

DFT (PBE) results for crystalline CeSm2Ga3Rh4 at its relaxed geometry.

abc: 4.3110 4.3110 10.8064
angles: 90.00 90.00 90.00
Atoms (fractional coordinates):
Ce 0.0000 0.0000 0.0000
Sm 0.0000 0.5000 0.7144
Sm 0.5000 0.0000 0.2856
Ga 0.0000 0.5000 0.3805
Ga 0.5000 0.0000 0.6195
Ga 0.5000 0.5000 0.0000
Rh 0.0000 0.0000 0.5000
Rh 0.0000 0.5000 0.1472
Rh 0.5000 0.0000 0.8528
Rh 0.5000 0.5000 0.5000

Computed properties:
Total energy, eV/atom: -6.1561
Total magnetization, Bohr magnetons per cell: 0.00
ΔE_f, eV/atom: -0.770

DFT (PBE) results for crystalline CsPaPt at its relaxed geometry.

abc: 4.1079 4.7613 12.9007
angles: 90.13 95.28 90.00
Atoms (fractional coordinates):
Cs 0.2434 0.2480 0.1833
Cs 0.7566 0.7520 0.8167
Pa 0.3391 0.7502 0.5348
Pa 0.6609 0.2498 0.4652
Pt 0.1466 0.2509 0.6253
Pt 0.8534 0.7491 0.3747

Computed properties:
Total energy, eV/atom: -5.6459
Total magnetization, Bohr magnetons per cell: 0.32
ΔE_f, eV/atom: -0.183

DFT (PBE) results for crystalline Ho2ThCdC at its relaxed geometry.

abc: 4.9278 4.9278 5.0561
angles: 90.00 90.00 90.00
Atoms (fractional coordinates):
Ho 0.0000 0.5000 0.0000
Ho 0.5000 0.0000 0.0000
Th 0.0000 0.0000 0.5000
Cd 0.5000 0.5000 0.5000
C 0.0000 0.0000 0.0000

Computed properties:
Total energy, eV/atom: -5.6300
Total magnetization, Bohr magnetons per cell: 0.00
ΔE_f, eV/atom: -0.287

DFT (PBE) results for crystalline Cr2InH2 at its relaxed geometry.

abc: 5.4303 5.4303 5.4303
angles: 146.27 146.27 48.45
Atoms (fractional coordinates):
Cr 0.1735 0.1735 0.0000
Cr 0.8265 0.8265 0.0000
In 0.5000 0.5000 0.0000
H 0.2500 0.7500 0.5000
H 0.7500 0.2500 0.5000

Computed properties:
Total energy, eV/atom: -5.5546
Total magnetization, Bohr magnetons per cell: 0.00

DFT (PBE) results for crystalline MnBi at its relaxed geometry.

abc: 4.8721 4.8721 5.7378
angles: 90.00 90.00 120.00
Atoms (fractional coordinates):
Mn 0.3333 0.6667 0.2500
Mn 0.6667 0.3333 0.7500
Bi 0.3333 0.6667 0.7500
Bi 0.6667 0.3333 0.2500

Computed properties:
Total energy, eV/atom: -6.0782
Total magnetization, Bohr magnetons per cell: 8.02
ΔE_f, eV/atom: 0.447

DFT (PBE) results for crystalline BaDyPaN3 at its relaxed geometry.

abc: 7.4344 3.5349 10.0236
angles: 90.00 91.50 90.00
Atoms (fractional coordinates):
Ba 0.1231 0.2500 0.2015
Ba 0.8769 0.7500 0.7985
Dy 0.1802 0.2500 0.5497
Dy 0.8198 0.7500 0.4503
Pa 0.3861 0.7500 0.8664
Pa 0.6139 0.2500 0.1336
N 0.1199 0.7500 0.4168
N 0.2251 0.2500 0.7937
N 0.4166 0.7500 0.0906
N 0.5834 0.2500 0.9094
N 0.7749 0.7500 0.2063
N 0.8801 0.2500 0.5832

Computed properties:
Total energy, eV/atom: -8.0212
ΔE_f (raw), meV/atom: -1188
Total magnetization, Bohr magnetons per cell: 0.00

DFT (PBE) results for crystalline TlAs2Os at its relaxed geometry.

abc: 3.9283 3.9852 5.8220
angles: 90.00 104.76 90.00
Atoms (fractional coordinates):
Tl 0.0000 0.0000 0.0000
As 0.3570 0.0000 0.5173
As 0.8050 0.5000 0.5012
Os 0.3942 0.5000 0.7776

Computed properties:
Total energy, eV/atom: -5.2615
Excess energy over the best structure of this formula in the dataset, meV per atom: 325.0
Total magnetization, Bohr magnetons per cell: 0.00
ΔE_f, eV/atom: 0.462

DFT (PBE) results for crystalline Fe2CuSe at its relaxed geometry.

abc: 3.1961 3.1961 5.3457
angles: 90.00 90.00 90.00
Atoms (fractional coordinates):
Fe 0.0000 0.0000 0.0000
Fe 0.5000 0.5000 0.2288
Cu 0.5000 0.5000 0.7583
Se 0.0000 0.0000 0.4789

Computed properties:
Total energy, eV/atom: -5.9492
ΔE_f (raw), meV/atom: 177
Total magnetization, Bohr magnetons per cell: 5.53

DFT (PBE) results for crystalline Sm2ErScAs4 at its relaxed geometry.

abc: 7.0947 4.1087 7.1079
angles: 90.00 109.51 90.00
Atoms (fractional coordinates):
Sm 0.0000 0.0000 0.0000
Sm 0.0000 0.5000 0.5000
Er 0.5000 0.0000 0.5000
Sc 0.5000 0.5000 0.0000
As 0.2624 0.5000 0.2488
As 0.2663 0.0000 0.7607
As 0.7337 0.0000 0.2393
As 0.7376 0.5000 0.7512

Computed properties:
Total energy, eV/atom: -6.3337
Total magnetization, Bohr magnetons per cell: 0.00
ΔE_f, eV/atom: -1.467

DFT (PBE) results for crystalline LaPa2H8 at its relaxed geometry.

abc: 6.4187 6.4187 6.4187
angles: 148.23 123.77 66.05
Atoms (fractional coordinates):
La 0.0000 0.0000 0.0000
Pa 0.3237 0.3237 0.0000
Pa 0.6763 0.6763 0.0000
H 0.0932 0.8318 0.2614
H 0.1729 0.6729 0.5000
H 0.2868 0.5000 0.7868
H 0.4297 0.1682 0.2614
H 0.5703 0.8318 0.7386
H 0.7132 0.5000 0.2132
H 0.8271 0.3271 0.5000
H 0.9068 0.1682 0.7386

Computed properties:
Total energy, eV/atom: -4.9804
Total magnetization, Bohr magnetons per cell: 2.81

DFT (PBE) results for crystalline Cs3K3VI8 at its relaxed geometry.

abc: 10.6020 10.6020 10.6020
angles: 57.41 57.41 57.41
Atoms (fractional coordinates):
Cs 0.0000 0.5000 0.5000
Cs 0.5000 0.0000 0.5000
Cs 0.5000 0.5000 0.0000
K 0.0000 0.0000 0.5000
K 0.0000 0.5000 0.0000
K 0.5000 0.0000 0.0000
V 0.5000 0.5000 0.5000
I 0.2413 0.2413 0.2413
I 0.2887 0.6995 0.6995
I 0.3005 0.3005 0.7113
I 0.3005 0.7113 0.3005
I 0.6995 0.2887 0.6995
I 0.6995 0.6995 0.2887
I 0.7113 0.3005 0.3005
I 0.7587 0.7587 0.7587

Computed properties:
Total energy, eV/atom: -3.0942
ΔE_f (raw), meV/atom: -1269
Total magnetization, Bohr magnetons per cell: 3.00

DFT (PBE) results for crystalline ZrInTc2 at its relaxed geometry.

abc: 2.8713 4.4863 5.6006
angles: 90.00 99.45 90.00
Atoms (fractional coordinates):
Zr 0.0000 0.0000 0.0000
In 0.5000 0.0000 0.5000
Tc 0.1993 0.5000 0.7398
Tc 0.8007 0.5000 0.2602

Computed properties:
Total energy, eV/atom: -7.8651
Excess energy over the best structure of this formula in the dataset, meV per atom: 247.4
Total magnetization, Bohr magnetons per cell: 0.00
ΔE_f, eV/atom: 0.140

DFT (PBE) results for crystalline CePrRuPt at its relaxed geometry.

abc: 4.0831 6.1293 6.1293
angles: 37.27 90.00 90.00
Atoms (fractional coordinates):
Ce 0.0000 0.0000 0.0000
Pr 0.5000 0.2790 0.2790
Ru 0.5000 0.5343 0.5343
Pt 0.0000 0.7123 0.7123

Computed properties:
Total energy, eV/atom: -7.1910
Excess energy over the best structure of this formula in the dataset, meV per atom: 0.0
Total magnetization, Bohr magnetons per cell: 0.00
ΔE_f, eV/atom: -0.684

DFT (PBE) results for crystalline ReAs2Pb at its relaxed geometry.

abc: 3.4112 4.2433 7.1307
angles: 90.00 103.50 90.00
Atoms (fractional coordinates):
Re 0.0000 0.0000 0.0000
As 0.6235 0.0000 0.2525
As 0.9144 0.5000 0.8466
Pb 0.2370 0.5000 0.4612

Computed properties:
Total energy, eV/atom: -5.9630
Total magnetization, Bohr magnetons per cell: 0.00
ΔE_f, eV/atom: 0.401

DFT (PBE) results for crystalline HgSeCl2 at its relaxed geometry.

abc: 4.6535 4.6535 8.8646
angles: 90.00 90.00 133.42
Atoms (fractional coordinates):
Hg 0.0000 0.0000 0.0000
Se 0.5000 0.5000 0.2182
Cl 0.0000 0.0000 0.4148
Cl 0.5000 0.5000 0.7976

Computed properties:
Total energy, eV/atom: -2.0071
ΔE_f (raw), meV/atom: -137
Excess energy over the best structure of this formula in the dataset, meV per atom: 143.7
Total magnetization, Bohr magnetons per cell: 0.00

DFT (PBE) results for crystalline Ac5CdIn4 at its relaxed geometry.

abc: 4.0771 4.0771 20.7696
angles: 90.00 90.00 90.00
Atoms (fractional coordinates):
Ac 0.0000 0.0000 0.0000
Ac 0.0000 0.0000 0.2008
Ac 0.0000 0.0000 0.4008
Ac 0.0000 0.0000 0.5992
Ac 0.0000 0.0000 0.7992
Cd 0.5000 0.5000 0.5000
In 0.5000 0.5000 0.0999
In 0.5000 0.5000 0.3022
In 0.5000 0.5000 0.6978
In 0.5000 0.5000 0.9001

Computed properties:
Total energy, eV/atom: -3.6337
Total magnetization, Bohr magnetons per cell: 0.00
ΔE_f, eV/atom: -0.393

DFT (PBE) results for crystalline Pm4Sb3P at its relaxed geometry.

abc: 7.6390 7.6390 4.3900
angles: 90.00 90.00 109.29
Atoms (fractional coordinates):
Pm 0.2343 0.2343 0.5000
Pm 0.2416 0.7584 0.0000
Pm 0.7584 0.2416 0.0000
Pm 0.7657 0.7657 0.5000
Sb 0.0000 0.5000 0.5000
Sb 0.5000 0.0000 0.5000
Sb 0.5000 0.5000 0.0000
P 0.0000 0.0000 0.0000

Computed properties:
Total energy, eV/atom: -5.8403
ΔE_f (raw), meV/atom: -1243
Total magnetization, Bohr magnetons per cell: 0.00

DFT (PBE) results for crystalline Mg2VRu2 at its relaxed geometry.

abc: 6.1820 6.1820 4.4330
angles: 90.00 90.00 90.00
Atoms (fractional coordinates):
Mg 0.1699 0.3301 0.0000
Mg 0.3301 0.8301 0.0000
Mg 0.6699 0.1699 0.0000
Mg 0.8301 0.6699 0.0000
V 0.0000 0.0000 0.5000
V 0.5000 0.5000 0.5000
Ru 0.1418 0.6418 0.5000
Ru 0.3582 0.1418 0.5000
Ru 0.6418 0.8582 0.5000
Ru 0.8582 0.3582 0.5000

Computed properties:
Total energy, eV/atom: -6.1036
Total magnetization, Bohr magnetons per cell: 0.00
ΔE_f, eV/atom: 0.068